# 1
# LiLaIrPb, relaxed, DFT PBE-GGA
data_LiLaIrPb
_chemical_formula_sum 'Li4 La4 Ir4 Pb4'
_cell_length_a 7.001
_cell_length_b 7.001
_cell_length_c 7.001
_cell_angle_alpha 90.00
_cell_angle_beta 90.00
_cell_angle_gamma 90.00
_symmetry_space_group_name_H-M 'F -4 3 m'
_symmetry_Int_Tables_number 216
_symmetry_space_group_name_Hall 'F -4 2 3'
loop_
_atom_site_label
_atom_site_type_symbol
_atom_site_fract_x
_atom_site_fract_y
_atom_site_fract_z
_atom_site_occupancy
Li1 Li 0.000 0.000 0.000 1
La1 La 0.250 0.250 0.250 1
Ir1 Ir 0.000 0.000 0.500 1
Pb1 Pb 0.250 0.250 0.750 1
# V in Å³/atom: 21.4
# DFT formation energy in eV per atom: -0.3977
# Crystal system: cubic



# 2
# HgBiMoP2, relaxed, DFT PBE-GGA
data_HgBiMoP2
_chemical_formula_sum 'Hg1 Bi1 Mo1 P2'
_cell_length_a 4.933
_cell_length_b 4.933
_cell_length_c 5.347
_cell_angle_alpha 90.00
_cell_angle_beta 90.00
_cell_angle_gamma 90.00
_symmetry_space_group_name_H-M 'P 4/m m m'
_symmetry_Int_Tables_number 123
_symmetry_space_group_name_Hall '-P 4 2'
loop_
_atom_site_label
_atom_site_type_symbol
_atom_site_fract_x
_atom_site_fract_y
_atom_site_fract_z
_atom_site_occupancy
Hg1 Hg 0.000 0.000 0.000 1
Bi1 Bi 0.500 0.500 0.500 1
Mo1 Mo 0.000 0.000 0.500 1
P1 P 0.000 0.500 0.000 1
# V in Å³/atom: 26.0
# DFT formation energy in eV per atom: 1.5213
# Crystal system: tetragonal



# 3
# CaMo2PRh, relaxed, DFT PBE-GGA
data_CaMo2PRh
_chemical_formula_sum 'Ca1 Mo2 P1 Rh1'
_cell_length_a 4.873
_cell_length_b 4.873
_cell_length_c 4.568
_cell_angle_alpha 90.00
_cell_angle_beta 90.00
_cell_angle_gamma 90.00
_symmetry_space_group_name_H-M 'P 4/m m m'
_symmetry_Int_Tables_number 123
_symmetry_space_group_name_Hall '-P 4 2'
loop_
_atom_site_label
_atom_site_type_symbol
_atom_site_fract_x
_atom_site_fract_y
_atom_site_fract_z
_atom_site_occupancy
Ca1 Ca 0.000 0.000 0.000 1
Mo1 Mo 0.000 0.500 0.500 1
P1 P 0.500 0.500 0.000 1
Rh1 Rh 0.500 0.500 0.500 1
# V in Å³/atom: 21.7
# DFT formation energy in eV per atom: 1.0137
# Crystal system: tetragonal



# 4
# CeErOs, relaxed, DFT PBE-GGA
data_CeErOs
_chemical_formula_sum 'Ce2 Er2 Os2'
_cell_length_a 4.913
_cell_length_b 4.015
_cell_length_c 7.423
_cell_angle_alpha 90.00
_cell_angle_beta 91.79
_cell_angle_gamma 90.00
_symmetry_space_group_name_H-M 'P 1 21/m 1'
_symmetry_Int_Tables_number 11
_symmetry_space_group_name_Hall '-P 2yb'
loop_
_atom_site_label
_atom_site_type_symbol
_atom_site_fract_x
_atom_site_fract_y
_atom_site_fract_z
_atom_site_occupancy
Ce1 Ce 0.227 0.250 0.480 1
Er1 Er 0.261 0.750 0.875 1
Os1 Os 0.344 0.750 0.255 1
# V in Å³/atom: 24.4
# DFT formation energy in eV per atom: -0.1090
# Relative energy among the computed polymorphs in eV per atom: 0.0665
# Crystal system: monoclinic



Question: Which value of DFT formation energy does entry 1 give?
Answer: -0.3977 eV per atom



Question: Which of these has the lowest DFT formation energy?
Answer: LiLaIrPb